Entry 1:
SrBeAl2Ru: optimized geometry, PBE-GGA.

Summary:
Crystal system ... tetragonal
E_form ... 488 meV per atom

a b c (Å): 4.760 4.760 5.620
angles (deg): 90.00 90.00 90.00
Space group P4/mmm (No. 123)
Inequivalent atoms, fractional coordinates:
Sr 0.000 0.000 0.000 x1
Be 0.500 0.500 0.000 x1
Al 0.000 0.500 0.500 x2
Ru 0.000 0.000 0.500 x1



Entry 2:
Be2AlTeRu: optimized geometry, PBE-GGA.

Summary:
Crystal system ... tetragonal
E_form (uncorrected) ... 6.6 eV per formula unit

a b c (Å): 4.211 4.211 5.689
angles (deg): 90.00 90.00 90.00
Space group P4/mmm (No. 123)
Inequivalent atoms, fractional coordinates:
Be 0.000 0.500 0.000 x2
Al 0.000 0.000 0.000 x1
Te 0.000 0.000 0.500 x1
Ru 0.500 0.500 0.500 x1



Entry 3:
Be2AlV2Ru5: optimized geometry, PBE-GGA.

Summary:
Crystal system ... tetragonal
E_form ... -249 meV per atom

a b c (Å): 9.120 9.120 3.055
angles (deg): 90.00 90.00 90.00
Space group P4/mbm (No. 127)
Inequivalent atoms, fractional coordinates:
Be 0.125 0.375 0.000 x4
Al 0.000 0.000 0.000 x2
V 0.174 0.674 0.000 x4
Ru 0.000 0.500 0.500 x2
Ru 0.077 0.205 0.500 x8



Entry 4:
YBeAl2Ru: optimized geometry, PBE-GGA.

Summary:
Crystal system ... tetragonal
E_form ... 1803 meV per atom

a b c (Å): 5.529 5.529 4.766
angles (deg): 90.00 90.00 90.00
Space group P4/mmm (No. 123)
Inequivalent atoms, fractional coordinates:
Y 0.000 0.000 0.000 x1
Be 0.500 0.500 0.500 x1
Al 0.000 0.500 0.000 x2
Ru 0.000 0.000 0.500 x1



Entry 5:
Zr2Be2AlRu5: optimized geometry, PBE-GGA.

Summary:
Crystal system ... tetragonal
E_form ... -492 meV per atom

a b c (Å): 9.376 9.376 3.213
angles (deg): 90.00 90.00 90.00
Space group P4/mbm (No. 127)
Inequivalent atoms, fractional coordinates:
Zr 0.174 0.326 0.000 x4
Be 0.125 0.625 0.000 x4
Al 0.000 0.000 0.000 x2
Ru 0.000 0.500 0.500 x2
Ru 0.071 0.792 0.500 x8



Entry 6:
BeAl2S: optimized geometry, PBE-GGA.

Summary:
Crystal system ... cubic
Energy above the lowest structure with this stoichiometry ... 117 kJ/mol of formula units
E_form (uncorrected) ... 1.7 eV per formula unit

a b c (Å): 6.199 6.199 6.199
angles (deg): 90.00 90.00 90.00
Space group Fm-3m (No. 225)
Inequivalent atoms, fractional coordinates:
Be 0.000 0.000 0.000 x4
Al 0.250 0.250 0.250 x8
S 0.000 0.000 0.500 x4



Entry 7:
BeAl2S: optimized geometry, PBE-GGA.

Summary:
Crystal system ... tetragonal
Energy above the lowest structure with this stoichiometry ... 0 kJ/mol of formula units
E_form (uncorrected) ... 0.5 eV per formula unit

a b c (Å): 5.703 5.703 9.900
angles (deg): 90.00 90.00 90.00
Space group I-42d (No. 122)
Inequivalent atoms, fractional coordinates:
Be 0.000 0.000 0.000 x4
Al 0.239 0.250 0.125 x8
S 0.000 0.000 0.500 x4



Entry 8:
Be3AlS: optimized geometry, PBE-GGA.

Summary:
Crystal system ... cubic
Energy above the lowest structure with this stoichiometry ... 0 kJ/mol of formula units
E_form (uncorrected) ... 3.4 eV per formula unit

a b c (Å): 4.104 4.104 4.104
angles (deg): 90.00 90.00 90.00
Space group Pm-3m (No. 221)
Inequivalent atoms, fractional coordinates:
Be 0.000 0.000 0.500 x3
Al 0.500 0.500 0.500 x1
S 0.000 0.000 0.000 x1



Entry 9:
BeAlS3: optimized geometry, PBE-GGA.

Summary:
Crystal system ... cubic
Energy above the lowest structure with this stoichiometry ... 96 kJ/mol of formula units
E_form (uncorrected) ... 2.2 eV per formula unit

a b c (Å): 4.564 4.564 4.564
angles (deg): 90.00 90.00 90.00
Space group Pm-3m (No. 221)
Inequivalent atoms, fractional coordinates:
Be 0.000 0.000 0.000 x1
Al 0.500 0.500 0.500 x1
S 0.000 0.500 0.500 x3



Entry 10:
Be2Al2S5: optimized geometry, PBE-GGA.

Summary:
Crystal system ... monoclinic
E_form (uncorrected) ... -8.1 eV per formula unit

a b c (Å): 20.822 3.555 5.973
angles (deg): 90.00 93.03 90.00
Space group C2/m (No. 12)
Inequivalent atoms, fractional coordinates:
Be 0.130 0.000 0.414 x4
Al 0.101 0.500 0.943 x4
S 0.000 0.500 0.000 x2
S 0.125 0.500 0.574 x4
S 0.158 0.000 0.094 x4



Entry 11:
BeAlS3: optimized geometry, PBE-GGA.

Summary:
Crystal system ... cubic
Energy above the lowest structure with this stoichiometry ... 0 kJ/mol of formula units
E_form (uncorrected) ... 1.2 eV per formula unit

a b c (Å): 4.312 4.312 4.312
angles (deg): 90.00 90.00 90.00
Space group Pm-3m (No. 221)
Inequivalent atoms, fractional coordinates:
Be 0.000 0.000 0.000 x1
Al 0.500 0.500 0.500 x1
S 0.000 0.000 0.500 x3



Entry 12:
SrBeAlS2: optimized geometry, PBE-GGA.

Summary:
Crystal system ... tetragonal
E_form (uncorrected) ... 4.6 eV per formula unit

a b c (Å): 5.524 5.524 6.453
angles (deg): 90.00 90.00 90.00
Space group P4/mmm (No. 123)
Inequivalent atoms, fractional coordinates:
Sr 0.000 0.000 0.000 x1
Be 0.500 0.500 0.500 x1
Al 0.000 0.000 0.500 x1
S 0.000 0.500 0.000 x2



Question: Number 1 is which compound?
Answer: SrBeAl2Ru